A plane-wave DFT calculation with GGA-PBE was carried out for a relaxed TcPRh2 crystal.

Lattice parameters (Å, degrees): 2.8664 2.8664 6.6431 90.00 90.00 90.00
With the nearest neighbours (Å) after each atom.
Fractional coordinates of all 4 atoms:
Tc (0.0000, 0.0000, 0.0000)  4 P 2.47, 4 Rh 2.70
P (0.5000, 0.5000, 0.2123)  4 Rh 2.46, 4 Tc 2.47
Rh (0.0000, 0.0000, 0.4224)  4 P 2.46
Rh (0.5000, 0.5000, 0.7316)  4 Tc 2.70, 8 Rh 2.87-2.89

## Properties
- Energy of formation from the pure elements: -99 kJ/mol of formula units
- D(E_F): 3.170 states/eV per cell
- Mass density: 10.2 g/cm3
- Space-group type: P4mm